No. 1
The following is a DFT calculation (meta-GGA SCAN) of Y3Tl at its PBEsol-relaxed geometry.

The structure belongs to space group Immm (No. 71); the cell edges are 3.8286, 5.2570 and 11.3487 Å and the angles 90.00°, 90.00° and 90.00°. The asymmetric unit holds Y at (0.0000, 0.0000, 0.0000), Y at (0.0000, 0.5000, 0.2218) and Tl at (0.0000, 0.0000, 0.5000).

The size of the total moment comes out at 0.000 μB per atom. Its crystal system is orthorhombic.

No. 2
The following is a DFT calculation (meta-GGA SCAN) of Y5Tl at its PBEsol-relaxed geometry.

The structure belongs to space group P4/mmm (No. 123); the cell edges are 3.5391, 3.5391 and 14.0336 Å and the angles 90.00°, 90.00° and 90.00°. The asymmetric unit holds Y at (0.0000, 0.0000, 0.0000), Y at (0.0000, 0.0000, 0.3520), Y at (0.5000, 0.5000, 0.1753) and Tl at (0.5000, 0.5000, 0.5000).

The size of the total moment comes out at 0.000 μB per atom. Its crystal system is tetragonal. The calculation puts the excess energy over the best structure of this formula in the dataset at 0.023 eV/atom.

No. 3
The following is a DFT calculation (meta-GGA SCAN) of YTl5 at its PBEsol-relaxed geometry.

The structure belongs to space group Cm (No. 8); the cell edges are 12.0547, 3.5843 and 8.0073 Å and the angles 90.00°, 110.23° and 90.00°. The asymmetric unit holds Y at (0.0000, 0.0000, 0.0000), Tl at (0.0259, 0.0000, 0.5863), Tl at (0.1808, 0.5000, 0.3446), Tl at (0.2059, 0.5000, 0.9311), Tl at (0.3204, 0.0000, 0.6824) and Tl at (0.3868, 0.0000, 0.2434).

The size of the total moment comes out at 0.000 μB per atom. Its crystal system is monoclinic. The calculation puts the excess energy over the best structure of this formula in the dataset at 0.024 eV/atom.

No. 4
The following is a DFT calculation (meta-GGA SCAN) of Y2Tl at its PBEsol-relaxed geometry.

The structure belongs to space group P6_3/mmc (No. 194); the cell edges are 5.3223, 5.3223 and 6.6294 Å and the angles 90.00°, 90.00° and 120.00°. The asymmetric unit holds Y at (0.0000, 0.0000, 0.0000), Y at (0.3333, 0.6667, 0.2500) and Tl at (0.3333, 0.6667, 0.7500).

The size of the total moment comes out at 0.276 μB per atom. Its crystal system is hexagonal.

No. 5
The following is a DFT calculation (meta-GGA SCAN) of Y8Tl at its PBEsol-relaxed geometry.

The structure belongs to space group I4/mmm (No. 139); the cell edges are 10.5218, 10.5218 and 4.7793 Å and the angles 90.00°, 90.00° and 90.00°. The asymmetric unit holds Y at (0.0000, 0.3350, 0.0000), Y at (0.1607, 0.1607, 0.5000) and Tl at (0.0000, 0.0000, 0.0000).

The size of the total moment comes out at 0.000 μB per atom. Its crystal system is tetragonal.

No. 6
The following is a DFT calculation (meta-GGA SCAN) of YTl7 at its PBEsol-relaxed geometry.

The structure belongs to space group Fm-3m (No. 225); the cell edges are 9.4929, 9.4929 and 9.4929 Å and the angles 90.00°, 90.00° and 90.00°. The asymmetric unit holds Y at (0.0000, 0.0000, 0.0000), Tl at (0.0000, 0.0000, 0.5000) and Tl at (0.0000, 0.2500, 0.2500).

The size of the total moment comes out at 0.000 μB per atom. Its crystal system is cubic.

No. 7
The following is a DFT calculation (meta-GGA SCAN) of Y4Tl5 at its PBEsol-relaxed geometry.

The structure belongs to space group I4/mmm (No. 139); the cell edges are 10.2923, 10.2923 and 4.5171 Å and the angles 90.00°, 90.00° and 90.00°. The asymmetric unit holds Y at (0.0000, 0.3123, 0.0000), Tl at (0.0000, 0.0000, 0.0000) and Tl at (0.1713, 0.1713, 0.5000).

The size of the total moment comes out at 0.000 μB per atom. Its crystal system is tetragonal. The calculation puts the excess energy over the best structure of this formula in the dataset at 0.112 eV/atom.

No. 8
The following is a DFT calculation (meta-GGA SCAN) of Y3Tl at its PBEsol-relaxed geometry.

The structure belongs to space group P6_3/mmc (No. 194); the cell edges are 6.7670, 6.7670 and 5.5461 Å and the angles 90.00°, 90.00° and 120.00°. The asymmetric unit holds Y at (0.1710, 0.3420, 0.2500) and Tl at (0.3333, 0.6667, 0.7500).

The size of the total moment comes out at 0.435 μB per atom. Its crystal system is hexagonal.

No. 9
The following is a DFT calculation (meta-GGA SCAN) of Y3Tl at its PBEsol-relaxed geometry.

The structure belongs to space group Cmcm (No. 63); the cell edges are 8.4502, 10.5943 and 5.0702 Å and the angles 90.00°, 90.00° and 90.00°. The asymmetric unit holds Y at (0.0000, 0.1120, 0.2500), Y at (0.2087, 0.3881, 0.2500) and Tl at (0.0000, 0.3230, 0.7500).

The size of the total moment comes out at 0.182 μB per atom. Its crystal system is orthorhombic.

No. 10
The following is a DFT calculation (meta-GGA SCAN) of YTl5 at its PBEsol-relaxed geometry.

The structure belongs to space group P2/m (No. 10); the cell edges are 4.7195, 4.4524 and 7.7374 Å and the angles 90.00°, 101.17° and 90.00°. The asymmetric unit holds Y at (0.0000, 0.0000, 0.0000), Tl at (0.1348, 0.5000, 0.3302), Tl at (0.3612, 0.0000, 0.6716) and Tl at (0.5000, 0.5000, 0.0000).

The size of the total moment comes out at 0.000 μB per atom. Its crystal system is monoclinic. The calculation puts the excess energy over the best structure of this formula in the dataset at 0.000 eV/atom.

No. 11
The following is a DFT calculation (meta-GGA SCAN) of Y2Tl at its PBEsol-relaxed geometry.

The structure belongs to space group Fd-3m (No. 227, origin choice 2); the cell edges are 13.9542, 13.9542 and 13.9542 Å and the angles 90.00°, 90.00° and 90.00°. The asymmetric unit holds Y at (0.0000, 0.0000, 0.0000), Y at (0.0628, 0.3750, 0.8750) and Tl at (0.0314, 0.0314, 0.2186).

The size of the total moment comes out at 0.315 μB per atom. Its crystal system is cubic.

No. 12
The following is a DFT calculation (meta-GGA SCAN) of Y2Tl at its PBEsol-relaxed geometry.

The structure belongs to space group P-62m (No. 189); the cell edges are 8.2956, 8.2956 and 4.2827 Å and the angles 90.00°, 90.00° and 120.00°. The asymmetric unit holds Y at (0.0000, 0.2645, 0.0000), Y at (0.0000, 0.5989, 0.5000), Tl at (0.0000, 0.0000, 0.5000) and Tl at (0.3333, 0.6667, 0.0000).

The size of the total moment comes out at 0.407 μB per atom. Its crystal system is hexagonal.

For the records above, the corresponding V values read 228, 176, 325, 163, 529, 855, 479, 220, 454, 160, 2717, 255 Å³/cell.
For the records above, the corresponding energy of formation values read -0.347, -0.169, -0.139, -0.521, -0.077, -0.155, -0.424, -0.345, -0.332, -0.163, -0.479, -0.529 eV/atom.
For the records above, the corresponding DFT total energy values read -314.548, -212.588, -780.936, -259.212, -591.591, -2142.360, -953.960, -314.535, -628.853, -390.612, -4143.383, -388.893 eV/cell.